Entry A
ZnP3W | PBE | optimized geometry

The structure in POSCAR format:
```
ZnP3W
1.0
4.448 0.000 0.000
0.000 4.448 0.000
0.000 0.000 4.448
Zn P W
1 3 1
Direct
0.000 0.000 0.000
0.000 0.000 0.500
0.000 0.500 0.000
0.500 0.000 0.000
0.500 0.500 0.500
```

=====

Entry B
ZnP3W | PBE | optimized geometry

The structure in POSCAR format:
```
ZnP3W
1.0
4.722 0.000 0.000
0.000 4.722 0.000
0.000 0.000 4.722
Zn P W
1 3 1
Direct
0.000 0.000 0.000
0.000 0.500 0.500
0.500 0.000 0.500
0.500 0.500 0.000
0.500 0.500 0.500
```

=====

Of them, entry B has the highest stability.

=====

Entry A
ZrP2W | PBE | optimized geometry

The structure in POSCAR format:
```
ZrP2W
1.0
0.000 3.178 3.178
3.178 0.000 3.178
3.178 3.178 0.000
Zr P W
1 2 1
Direct
0.000 0.000 0.000
0.250 0.250 0.250
0.500 0.500 0.500
0.750 0.750 0.750
```

=====

Entry B
ZrP2W | PBE | optimized geometry

The structure in POSCAR format:
```
ZrP2W
1.0
4.543 -1.609 0.000
4.543 1.609 0.000
-0.832 0.000 4.421
Zr P W
1 2 1
Direct
0.000 0.000 0.000
0.270 0.270 0.877
0.488 0.488 0.497
0.773 0.773 0.430
```

=====

Entry C
ZrP2W | PBE | optimized geometry

The structure in POSCAR format:
```
ZrP2W
1.0
1.877 1.084 5.539
-1.877 1.084 5.539
0.000 -2.168 5.539
Zr P W
1 2 1
Direct
0.000 0.000 0.000
0.241 0.241 0.241
0.759 0.759 0.759
0.500 0.500 0.500
```

=====

Of them, entry B has the highest stability.

=====

Entry A
ZrP2W | PBE | optimized geometry

The structure in POSCAR format:
```
ZrP2W
1.0
-2.733 2.733 5.955
2.733 -2.733 5.955
2.733 2.733 -5.955
Zr P W
2 4 2
Direct
0.000 0.000 0.000
0.750 0.250 0.500
0.162 0.625 0.037
0.375 0.412 0.537
0.588 0.125 0.963
0.875 0.838 0.463
0.250 0.750 0.500
0.500 0.500 0.000
```

=====

Entry B
ZrP2W | PBE | optimized geometry

The structure in POSCAR format:
```
ZrP2W
1.0
3.308 0.000 0.000
0.000 4.658 0.000
-1.649 0.000 4.458
Zr P W
1 2 1
Direct
0.000 0.000 0.000
0.286 0.000 0.569
0.572 0.500 0.145
0.281 0.500 0.563
```

=====

Of them, entry B has the highest stability.

=====

Entry A
ZrP2W | PBE | optimized geometry

The structure in POSCAR format:
```
ZrP2W
1.0
1.759 -2.325 0.000
1.759 2.325 0.000
0.000 0.000 9.137
Zr P W
1 2 1
Direct
0.000 0.000 0.000
0.000 0.000 0.552
0.500 0.500 0.209
0.500 0.500 0.739
```

=====

Entry B
ZrP2W | PBE | optimized geometry

The structure in POSCAR format:
```
ZrP2W
1.0
-1.648 1.710 5.843
1.648 -1.710 5.843
1.648 1.710 -5.843
Zr P W
1 2 1
Direct
0.000 0.000 0.000
0.408 0.408 0.000
0.672 0.172 0.500
0.252 0.752 0.500
```

=====

Entry C
ZrP2W | PBE | optimized geometry

The structure in POSCAR format:
```
ZrP2W
1.0
0.000 3.135 3.135
3.135 0.000 3.135
3.135 3.135 0.000
Zr P W
1 2 1
Direct
0.000 0.000 0.000
0.250 0.250 0.250
0.750 0.750 0.750
0.500 0.500 0.500
```

=====

Entry D
ZrP2W | PBE | optimized geometry

The structure in POSCAR format:
```
ZrP2W
1.0
3.388 0.000 0.000
0.000 4.044 0.000
0.000 0.000 4.931
Zr P W
1 2 1
Direct
0.000 0.000 0.000
0.500 0.500 0.229
0.500 0.500 0.771
0.500 0.000 0.500
```

=====

Of them, entry B has the highest stability.

=====

Entry A
ZrP2W | PBE | optimized geometry

The structure in POSCAR format:
```
ZrP2W
1.0
1.548 0.894 8.073
-1.548 0.894 8.073
0.000 -1.788 8.073
Zr P W
1 2 1
Direct
0.000 0.000 0.000
0.497 0.497 0.497
0.753 0.753 0.753
0.233 0.233 0.233
```

=====

Entry B
ZrP2W | PBE | optimized geometry

The structure in POSCAR format:
```
ZrP2W
1.0
3.102 0.000 0.000
0.000 3.102 0.000
0.000 0.000 6.406
Zr P W
1 2 1
Direct
0.000 0.000 0.000
0.500 0.500 0.278
0.500 0.500 0.722
0.000 0.000 0.500
```

=====

Of them, entry B has the highest stability.

=====

Entry A
YP5 | PBE | optimized geometry

The structure in POSCAR format:
```
YP5
1.0
0.000 3.716 3.716
3.716 0.000 3.716
3.716 3.716 0.000
Y P
1 5
Direct
0.000 0.000 0.000
0.389 0.389 0.389
0.389 0.389 0.834
0.389 0.834 0.389
0.750 0.750 0.750
0.834 0.389 0.389
```

=====

Entry B
YP5 | PBE | optimized geometry

The structure in POSCAR format:
```
YP5
1.0
5.101 -2.257 0.000
5.101 2.257 0.000
-1.929 0.000 4.888
Y P
1 5
Direct
0.000 0.000 0.000
0.259 0.259 0.847
0.373 0.373 0.294
0.629 0.629 0.336
0.676 0.676 0.782
0.873 0.873 0.413
```

=====

Of them, entry B has the highest stability.

=====

Entry A
YP5 | PBE | optimized geometry

The structure in POSCAR format:
```
YP5
1.0
4.957 0.000 0.000
0.000 9.435 0.000
-1.129 0.000 5.246
Y P
2 10
Direct
0.004 0.250 0.346
0.996 0.750 0.654
0.276 0.250 0.892
0.286 0.528 0.405
0.286 0.972 0.405
0.384 0.593 0.045
0.384 0.907 0.045
0.616 0.093 0.955
0.616 0.407 0.955
0.714 0.028 0.595
0.714 0.472 0.595
0.724 0.750 0.108
```

=====

Entry B
YP5 | PBE | optimized geometry

The structure in POSCAR format:
```
YP5
1.0
3.676 0.000 0.000
0.000 2.079 7.582
0.000 -2.079 7.582
Y P
1 5
Direct
0.000 0.000 0.000
0.000 0.355 0.355
0.000 0.636 0.636
0.500 0.146 0.146
0.500 0.441 0.441
0.500 0.724 0.724
```

=====

Of them, entry A has the highest stability.

=====

Entry A
YP5 | PBE | optimized geometry

The structure in POSCAR format:
```
YP5
1.0
3.612 0.000 0.000
0.000 3.612 0.000
0.000 0.000 9.955
Y P
1 5
Direct
0.000 0.000 0.000
0.000 0.000 0.394
0.000 0.000 0.606
0.500 0.500 0.112
0.500 0.500 0.500
0.500 0.500 0.888
```

=====

Entry B
YP5 | PBE | optimized geometry

The structure in POSCAR format:
```
YP5
1.0
5.951 0.000 0.000
-2.975 5.154 0.000
0.000 0.000 3.375
Y P
1 5
Direct
0.000 0.000 0.000
0.000 0.600 0.500
0.333 0.667 0.000
0.400 0.400 0.500
0.600 0.000 0.500
0.667 0.333 0.000
```

=====

Of them, entry B has the highest stability.

=====

Entry A
YP4 | PBE | optimized geometry

The structure in POSCAR format:
```
YP4
1.0
-3.784 3.784 1.674
3.784 -3.784 1.674
3.784 3.784 -1.674
Y P
1 4
Direct
0.000 0.000 0.000
0.207 0.337 0.544
0.337 0.793 0.130
0.663 0.207 0.870
0.793 0.663 0.456
```

=====

Entry B
YP4 | PBE | optimized geometry

The structure in POSCAR format:
```
YP4
1.0
5.228 0.000 0.000
0.000 5.228 0.000
0.000 0.000 5.228
Y P
1 4
Direct
0.000 0.000 0.000
0.000 0.000 0.500
0.000 0.500 0.000
0.500 0.000 0.000
0.500 0.500 0.500
```

=====

Of them, entry A has the highest stability.

=====

Entry A
Y3P5 | PBE | optimized geometry

The structure in POSCAR format:
```
Y3P5
1.0
3.381 -4.516 0.000
3.381 4.516 0.000
0.000 0.000 5.177
Y P
3 5
Direct
0.000 0.000 0.000
0.301 0.699 0.500
0.699 0.301 0.500
0.000 0.500 0.000
0.163 0.163 0.500
0.500 0.000 0.000
0.500 0.500 0.000
0.837 0.837 0.500
```

=====

Entry B
Y3P5 | PBE | optimized geometry

The structure in POSCAR format:
```
Y3P5
1.0
8.343 0.000 0.000
-4.172 7.226 0.000
0.000 0.000 5.310
Y P
6 10
Direct
0.000 0.367 0.250
0.000 0.633 0.750
0.367 0.000 0.250
0.367 0.367 0.750
0.633 0.000 0.750
0.633 0.633 0.250
0.000 0.198 0.750
0.000 0.802 0.250
0.198 0.000 0.750
0.198 0.198 0.250
0.333 0.667 0.000
0.333 0.667 0.500
0.667 0.333 0.000
0.667 0.333 0.500
0.802 0.000 0.250
0.802 0.802 0.750
```

=====

Of them, entry A has the highest stability.

=====

Entry A
Y5P | PBE | optimized geometry

The structure in POSCAR format:
```
Y5P
1.0
5.184 0.000 0.000
0.000 1.904 8.531
0.000 -1.904 8.531
Y P
5 1
Direct
0.000 0.000 0.000
0.000 0.309 0.309
0.500 0.181 0.181
0.500 0.534 0.534
0.500 0.867 0.867
0.000 0.636 0.636
```

=====

Entry B
Y5P | PBE | optimized geometry

The structure in POSCAR format:
```
Y5P
1.0
3.606 0.000 0.000
0.000 3.606 0.000
0.000 0.000 13.171
Y P
5 1
Direct
0.000 0.000 0.000
0.000 0.000 0.382
0.000 0.000 0.618
0.500 0.500 0.191
0.500 0.500 0.809
0.500 0.500 0.500
```

=====

Of them, entry B has the highest stability.

=====

Entry A
Y5P | PBE | optimized geometry

The structure in POSCAR format:
```
Y5P
1.0
6.119 0.000 0.000
-3.059 5.299 0.000
0.000 0.000 5.132
Y P
5 1
Direct
0.000 0.700 0.000
0.300 0.300 0.000
0.333 0.667 0.500
0.667 0.333 0.500
0.700 0.000 0.000
0.000 0.000 0.500
```

=====

Entry B
Y5P | PBE | optimized geometry

The structure in POSCAR format:
```
Y5P
1.0
5.888 -1.843 0.000
5.888 1.843 0.000
-1.654 0.000 8.228
Y P
5 1
Direct
0.000 0.000 0.000
0.074 0.074 0.425
0.376 0.376 0.625
0.673 0.673 0.774
0.772 0.772 0.220
0.315 0.315 0.967
```

=====

Of them, entry B has the highest stability.